Crystalline Sr2LaBr6 at its relaxed geometry, computed with PBE.

Symmetry: P4_2/mnm, No. 136
E: -3.945 eV per atom
Calculated volume: 720 Å³ per cell
E_form (uncorrected): -17.17 eV per formula unit

a b c (Å): 7.363 7.363 13.275
angles (deg): 90.00 90.00 90.00
Last column: magnetic moment on the atom in μB.
Fractional positions:
1 Sr 0.000 0.000 0.326  0.03
2 Sr 0.500 0.500 0.826  0.03
3 Sr 0.500 0.500 0.174  0.03
4 Sr 0.000 0.000 0.674  0.03
5 La 0.000 0.000 0.000  0.51
6 La 0.500 0.500 0.500  0.51
7 Br 0.294 0.294 0.337  0.00
8 Br 0.706 0.706 0.337  0.00
9 Br 0.206 0.794 0.837  0.00
10 Br 0.794 0.206 0.837  0.00
11 Br 0.206 0.794 0.163  0.00
12 Br 0.794 0.206 0.163  0.00
13 Br 0.294 0.294 0.663  0.00
14 Br 0.706 0.706 0.663  0.00
15 Br 0.297 0.297 0.000  0.00
16 Br 0.703 0.703 0.000  0.00
17 Br 0.203 0.797 0.500  0.00
18 Br 0.797 0.203 0.500  0.00

Crystalline NaLaPmAg at its relaxed geometry, computed with PBE.

ΔH_f (0 K): 0.087 eV/atom
Symmetry: F-43m, No. 216
E: -3.375 eV per atom
Calculated volume: 118 Å³ per cell

a b c (Å): 5.504 5.504 5.504
angles (deg): 60.00 60.00 60.00
Last column: magnetic moment on the atom in μB.
Fractional positions:
1 Na 0.500 0.500 0.500  0.01
2 La 0.250 0.250 0.250  0.14
3 Ag 0.000 0.000 0.000  0.03
4 Pm 0.750 0.750 0.750  0.20

Crystalline YGe2Ru at its relaxed geometry, computed with PBE.

ΔH_f (0 K): -0.345 eV/atom
Symmetry: Fm-3m, No. 225
E: -6.589 eV per atom
Calculated volume: 72 Å³ per cell

a b c (Å): 4.679 4.679 4.679
angles (deg): 60.00 60.00 60.00
Fractional positions:
1 Y 0.000 0.000 0.000
2 Ru 0.500 0.500 0.500
3 Ge 0.250 0.250 0.250
4 Ge 0.750 0.750 0.750

Crystalline PmSmDy5 at its relaxed geometry, computed with PBE.

ΔH_f (0 K): 0.189 eV/atom
E above lowest polymorph: 0 meV per atom
Symmetry: C2/c, No. 15
E: -4.451 eV per atom
Calculated volume: 457 Å³ per cell

a b c (Å): 6.781 6.781 13.774
angles (deg): 61.35 61.35 60.14
Fractional positions:
1 Pm 0.723 0.277 0.750
2 Pm 0.277 0.723 0.250
3 Sm 0.000 0.000 0.000
4 Sm 0.000 0.000 0.500
5 Dy 0.167 0.393 0.750
6 Dy 0.651 0.692 0.501
7 Dy 0.393 0.167 0.250
8 Dy 0.163 0.837 0.750
9 Dy 0.308 0.349 0.999
10 Dy 0.692 0.651 0.001
11 Dy 0.837 0.163 0.250
12 Dy 0.607 0.833 0.750
13 Dy 0.349 0.308 0.499
14 Dy 0.833 0.607 0.250

Crystalline BaAc2Cu at its relaxed geometry, computed with PBE.

ΔH_f (0 K): 0.023 eV/atom
E above lowest polymorph: 0 meV per atom
Symmetry: P4/mmm, No. 123
E: -3.536 eV per atom
Calculated volume: 157 Å³ per cell

a b c (Å): 3.915 3.915 10.262
angles (deg): 90.00 90.00 90.00
Fractional positions:
1 Ac 0.000 0.000 0.827
2 Ac 0.000 0.000 0.173
3 Ba 0.500 0.500 0.500
4 Cu 0.500 0.500 0.000

Crystalline SrPa2TiO8 at its relaxed geometry, computed with PBE.

Symmetry: Cmmm, No. 65
E: -8.993 eV per atom
Calculated volume: 178 Å³ per cell
E_form (uncorrected): -39.69 eV per formula unit

a b c (Å): 5.009 5.009 7.089
angles (deg): 90.00 90.00 88.01
Fractional positions:
1 Sr 0.000 0.000 0.500
2 Pa 0.500 0.500 0.757
3 Pa 0.500 0.500 0.243
4 Ti 0.000 0.000 0.000
5 O 0.194 0.805 0.203
6 O 0.703 0.703 0.000
7 O 0.806 0.195 0.203
8 O 0.806 0.195 0.797
9 O 0.297 0.297 0.000
10 O 0.194 0.805 0.797
11 O 0.671 0.671 0.500
12 O 0.329 0.329 0.500

Crystalline HfNiTeN2 at its relaxed geometry, computed with PBE.

E above lowest polymorph: 433 meV per atom
Symmetry: P4/mmm, No. 123
E: -6.085 eV per atom
Calculated volume: 75 Å³ per cell
E_form (uncorrected): 5.10 eV per formula unit

a b c (Å): 3.958 3.958 4.769
angles (deg): 90.00 90.00 90.00
Fractional positions:
1 Ni 0.000 0.000 0.000
2 Te 0.000 0.000 0.500
3 Hf 0.500 0.500 0.500
4 N 0.000 0.500 0.000
5 N 0.500 0.000 0.000

Crystalline CeLuZnAg at its relaxed geometry, computed with PBE.

ΔH_f (0 K): -0.205 eV/atom
Symmetry: F-43m, No. 216
E: -3.850 eV per atom
Calculated volume: 95 Å³ per cell

a b c (Å): 5.119 5.119 5.119
angles (deg): 60.00 60.00 60.00
Last column: magnetic moment on the atom in μB.
Fractional positions:
1 Zn 0.750 0.750 0.750  0.00
2 Lu 0.000 0.000 0.000  0.02
3 Ag 0.250 0.250 0.250  0.01
4 Ce 0.500 0.500 0.500  0.66

Which of these has the highest calculated volume? Sr2LaBr6

Which value of calculated volume does entry 1 give? 720 Å³ per cell